Record 1
Zn2CoIr | PBE-GGA | relaxed

Output
Its crystal system is trigonal. As for the space group: R-3m. The total energy comes out at -18.56 eV/f.u. The calculation puts the calculated volume at 54 Å³/f.u.

The structure in POSCAR format:
```
Zn2CoIr
1.0
8.4863 0.0012 0.0007
8.0454 2.6997 0.0007
8.0454 1.3144 2.3581
Co Ir Zn
1 1 2
Direct
0.2500 0.2500 0.2500
0.7500 0.7500 0.7500
0.9967 0.9967 0.9967
0.5033 0.5033 0.5033
```

Record 2
ReOs3O | PBE-GGA | relaxed

Output
As for the raw formation energy: 2.827 eV/atom. Its crystal system is cubic. As for the space group: Pm-3m. The total energy comes out at -36.96 eV/f.u. The calculation puts the calculated volume at 107 Å³/f.u.

The structure in POSCAR format:
```
ReOs3O
1.0
-1.2661 -2.5174 -3.8126
4.5683 -0.6449 -1.0913
0.0609 -3.9652 2.5980
O Os Re
1 3 1
Direct
0.5000 0.5000 0.5000
0.5000 0.0000 0.0000
0.0000 0.5000 0.0000
0.0000 0.0000 0.5000
0.0000 0.0000 0.0000
```

Record 3
Zr2AlAgBi | PBE-GGA | relaxed

Output
Its crystal system is tetragonal. As for the space group: P4/mmm. The total energy comes out at -22.75 eV/f.u. The calculation puts the calculated volume at 146 Å³/f.u.

The structure in POSCAR format:
```
Zr2AlAgBi
1.0
5.2097 0.0000 0.0000
0.0000 5.3705 0.0000
0.0000 0.0000 5.2097
Ag Al Zr Bi
1 1 2 1
Direct
0.0000 0.0000 0.0000
0.5000 0.5000 0.5000
0.0000 0.0000 0.5000
0.5000 0.0000 0.0000
0.0000 0.5000 0.0000
```

Record 4
KZn2SbAs | PBE-GGA | relaxed

Output
As for the raw formation energy: -0.268 eV/atom. Its crystal system is monoclinic. As for the space group: P2_1/m. The total energy comes out at -13.76 eV/f.u. The calculation puts the calculated volume at 137 Å³/f.u.

The structure in POSCAR format:
```
KZn2SbAs
1.0
-1.0689 -3.7715 0.6270
5.4761 -0.4849 6.4196
-7.1951 2.6242 3.5185
K Zn Sb As
2 4 2 2
Direct
0.2500 0.9553 0.2167
0.7500 0.0447 0.7833
0.7500 0.5269 0.6425
0.7500 0.4964 0.1164
0.2500 0.4731 0.3575
0.2500 0.5036 0.8836
0.7500 0.7139 0.4256
0.2500 0.2861 0.5744
0.7500 0.7015 0.9337
0.2500 0.2985 0.0663
```

Record 5
Rb3Hg2Te4 | PBE-GGA | relaxed

Output
As for the raw formation energy: -0.607 eV/atom. Its crystal system is monoclinic. As for the space group: C2/m. The total energy comes out at -21.53 eV/f.u. The calculation puts the calculated volume at 373 Å³/f.u. The value obtained for the energy above the most stable polymorph in this dataset is 0.003 eV per atom.

The structure in POSCAR format:
```
Rb3Hg2Te4
1.0
-0.8908 -3.2753 -3.1393
5.8178 4.6558 -3.1038
4.5940 -7.6228 6.6494
Rb Te Hg
3 4 2
Direct
0.0000 0.0000 0.0000
0.6350 0.2700 0.6789
0.3650 0.7300 0.3211
0.9212 0.8424 0.6152
0.0788 0.1576 0.3848
0.2928 0.5856 0.9162
0.7072 0.4144 0.0838
0.3648 0.7296 0.7193
0.6352 0.2704 0.2807
```

Record 6
DyHo3Zn2 | PBE-GGA | relaxed

Output
Its crystal system is tetragonal. As for the space group: P4/mmm. The total energy comes out at -22.23 eV/f.u. The calculation puts the calculated volume at 153 Å³/f.u.

The structure in POSCAR format:
```
DyHo3Zn2
1.0
3.5506 0.0000 0.0000
0.0000 3.5506 0.0000
0.0000 0.0000 12.1046
Zn Ho Dy
2 3 1
Direct
0.5000 0.5000 0.8550
0.5000 0.5000 0.1450
0.0000 0.0000 0.7091
0.0000 0.0000 0.0000
0.0000 0.0000 0.2909
0.5000 0.5000 0.5000
```

Record 7
BaAgN2O | PBE-GGA | relaxed

Output
As for the raw formation energy: 1.492 eV/atom. Its crystal system is tetragonal. As for the space group: P4/mmm. The total energy comes out at -18.92 eV/f.u. The calculation puts the calculated volume at 135 Å³/f.u.

The structure in POSCAR format:
```
BaAgN2O
1.0
-2.4867 4.6227 -0.7646
-1.3855 0.1014 5.1193
4.0625 2.3595 1.0528
N Ag Ba O
2 1 1 1
Direct
0.5000 0.0000 0.0000
0.0000 0.5000 0.0000
0.5000 0.5000 0.5000
0.0000 0.0000 0.0000
0.0000 0.0000 0.5000
```

Record 8
CaPtI2 | PBE-GGA | relaxed

Output
As for the raw formation energy: -0.335 eV/atom. Its crystal system is cubic. As for the space group: Fm-3m. The total energy comes out at -12.48 eV/f.u. The calculation puts the calculated volume at 108 Å³/f.u. The value obtained for the energy above the most stable polymorph in this dataset is 0.172 eV per atom.

The structure in POSCAR format:
```
CaPtI2
1.0
0.0000 3.7757 3.7757
3.7757 0.0000 3.7757
3.7757 3.7757 0.0000
I Ca Pt
2 1 1
Direct
0.2500 0.2500 0.2500
0.7500 0.7500 0.7500
0.0000 0.0000 0.0000
0.5000 0.5000 0.5000
```

Record 9
Sm5DyYHo2 | PBE-GGA | relaxed

Output
Its crystal system is orthorhombic. As for the space group: Cmc2_1. The total energy comes out at -42.49 eV/f.u. The calculation puts the calculated volume at 303 Å³/f.u.

The structure in POSCAR format:
```
Sm5DyYHo2
1.0
5.6344 0.0000 0.0000
-2.8172 10.0627 0.0000
0.0000 0.0000 10.6768
Ho Sm Y Dy
4 10 2 2
Direct
0.8850 0.7699 0.8157
0.1150 0.2301 0.3157
0.1112 0.2224 0.7372
0.8888 0.7776 0.2372
0.0175 0.0349 0.0203
0.9825 0.9651 0.5203
0.4806 0.9612 0.7413
0.3884 0.7769 0.0223
0.7186 0.4371 0.8102
0.5194 0.0388 0.2413
0.2988 0.5976 0.7076
0.7012 0.4024 0.2076
0.6116 0.2231 0.5223
0.2814 0.5629 0.3102
0.1998 0.3997 0.0108
0.8002 0.6003 0.5108
0.5889 0.1778 0.9586
0.4111 0.8222 0.4586
```

Record 10
AlZn2Hg | PBE-GGA | relaxed

Output
Its crystal system is tetragonal. As for the space group: P4/mmm. The total energy comes out at -5.99 eV/f.u. The calculation puts the calculated volume at 74 Å³/f.u. The value obtained for the energy above the most stable polymorph in this dataset is 0.043 eV per atom.

The structure in POSCAR format:
```
AlZn2Hg
1.0
-3.2972 0.0772 0.0816
-0.0943 -3.2041 -0.7804
0.1254 -1.6078 6.5860
Hg Zn Al
1 2 1
Direct
0.5000 0.5000 0.5000
0.0000 0.0000 0.2178
0.0000 0.0000 0.7822
0.5000 0.5000 0.0000
```

Record 11
KBa12Sn4O3 | PBE-GGA | relaxed

Output
As for the raw formation energy: -0.888 eV/atom. Its crystal system is cubic. As for the space group: Im-3m. The total energy comes out at -72.81 eV/f.u. The calculation puts the calculated volume at 716 Å³/f.u.

The structure in POSCAR format:
```
KBa12Sn4O3
1.0
9.7597 0.0000 0.0000
-3.2532 9.2015 0.0000
-3.2532 -4.6008 7.9688
Sn Ba K O
4 12 1 3
Direct
0.0000 0.0000 0.5000
0.5000 0.5000 0.5000
0.0000 0.5000 0.0000
0.5000 0.0000 0.0000
0.7500 0.5000 0.2500
0.2500 0.5000 0.7500
0.5000 0.7500 0.2500
0.0000 0.2751 0.2751
0.2751 0.2751 0.0000
0.7500 0.2500 0.5000
0.7249 0.7249 0.0000
0.2500 0.7500 0.5000
0.5000 0.2500 0.7500
0.7249 0.0000 0.7249
0.0000 0.7249 0.7249
0.2751 0.0000 0.2751
0.0000 0.0000 0.0000
0.0000 0.5000 0.5000
0.5000 0.5000 0.0000
0.5000 0.0000 0.5000
```

Record 12
PrScZnCo | PBE-GGA | relaxed

Output
Its crystal system is cubic. As for the space group: F-43m. The total energy comes out at -20.04 eV/f.u. The calculation puts the calculated volume at 81 Å³/f.u.

The structure in POSCAR format:
```
PrScZnCo
1.0
4.8498 0.0000 0.0000
2.4249 4.2001 0.0000
2.4249 1.4000 3.9598
Pr Co Sc Zn
1 1 1 1
Direct
0.7500 0.7500 0.7500
0.5000 0.5000 0.5000
0.2500 0.2500 0.2500
0.0000 0.0000 0.0000
```

no.,density of states at the Fermi level (states/eV/f.u.)
1,4.25
2,5.46
3,8.09
4,1.48
5,2.62
6,6.09
7,3.59
8,0.40
9,14.50
10,1.64
11,11.29
12,2.78